Computed, not measured: La4PrN4 after structural relaxation at the PBE level of DFT.

Values from the calculation:
ΔE_f (raw) = -1.1811 eV/atom
crystal system = tetragonal
SG = I4/m (87)
spin magnetization = 0.038 μB per formula unit
E_tot = -7.60 eV per atom
Fermi-level density of states = 0.49 states/eV/atom

abc: 6.4765 6.4765 6.4765
angles: 99.71 99.71 131.51
Element x y z (fractional)
1 La 0.1088 0.3122 0.4211
2 La 0.3122 0.8912 0.2034
3 La 0.6878 0.1088 0.7966
4 La 0.8912 0.6878 0.5789
5 Pr 0.5000 0.5000 0.0000
6 N 0.2023 0.5923 0.7946
7 N 0.4077 0.2023 0.6100
8 N 0.5923 0.7977 0.3900
9 N 0.7977 0.4077 0.2054